Record 1
Computed, not measured: a relaxed structure of DyLu2Ga at the GGA-PBE level of DFT.

The energy above the most stable polymorph in this dataset is 111 meV per atom. For the calculated density, the calculation gives 9.3 g/cm³. Its crystal system is orthorhombic. Its calculated total energy is -4.315 eV per atom.

abc: 5.1817 6.7611 6.7611
angles: 61.29 90.00 90.00
With the nearest neighbours (Å) after each atom.
Atoms (fractional coordinates):
Dy  0.5000  0.3410  0.3410  4 Ga 3.25-3.52, 8 Lu 3.26-3.45
Dy  0.0000  0.6586  0.6586  8 Lu 3.24-3.52, 4 Ga 3.29
Ga  0.5000  0.8332  0.3167  5 Lu 3.14-3.24, 3 Dy 3.25-3.29, 1 Ga 3.33
Ga  0.5000  0.3167  0.8332  5 Lu 3.14-3.24, 3 Dy 3.25-3.29, 1 Ga 3.33
Lu  0.0000  0.1621  0.1621  4 Ga 3.24, 4 Lu 3.27-3.50, 4 Dy 3.32-3.45
Lu  0.0000  0.6747  0.1715  2 Ga 3.14, 3 Dy 3.24-3.26, 6 Lu 3.24-3.50
Lu  0.0000  0.1715  0.6747  2 Ga 3.14, 3 Dy 3.24-3.26, 6 Lu 3.24-3.50
Lu  0.5000  0.8422  0.8422  2 Ga 3.18, 4 Lu 3.24, 4 Dy 3.36-3.45

***

Record 2
Computed, not measured: a relaxed structure of AcInPt at the GGA-PBE level of DFT.

The energy above the most stable polymorph in this dataset is 0 meV per atom. For the calculated density, the calculation gives 11.5 g/cm³. Its crystal system is orthorhombic. Its calculated total energy is -5.211 eV per atom.

abc: 7.5823 4.6779 8.7428
angles: 90.00 90.00 90.00
With the nearest neighbours (Å) after each atom.
Atoms (fractional coordinates):
Ac  0.4642  0.2500  0.1821  5 Pt 3.13-3.30, 3 In 3.43-3.50
Ac  0.9642  0.2500  0.3179  5 Pt 3.13-3.30, 3 In 3.43-3.50
Ac  0.0358  0.7500  0.6821  5 Pt 3.13-3.30, 3 In 3.43-3.50
Ac  0.5358  0.7500  0.8179  5 Pt 3.13-3.30, 3 In 3.43-3.50
In  0.1421  0.7500  0.0633  4 Pt 2.92-2.93
In  0.6421  0.7500  0.4367  4 Pt 2.92-2.93
In  0.3579  0.2500  0.5633  4 Pt 2.92-2.93
In  0.8579  0.2500  0.9367  4 Pt 2.92-2.93
Pt  0.7606  0.7500  0.1184  4 In 2.92-2.93, 1 Ac 3.13
Pt  0.2606  0.7500  0.3816  4 In 2.92-2.93, 1 Ac 3.13
Pt  0.7394  0.2500  0.6184  4 In 2.92-2.93, 1 Ac 3.13
Pt  0.2394  0.2500  0.8816  4 In 2.92-2.93, 1 Ac 3.13

***

Record 3
Computed, not measured: a relaxed structure of NaTaBeNi at the GGA-PBE level of DFT.

The energy above the most stable polymorph in this dataset is 1 meV per atom. For the calculated density, the calculation gives 8.3 g/cm³. Its crystal system is cubic. Its calculated total energy is -5.057 eV per atom.

abc: 4.2472 4.2472 4.2472
angles: 60.00 60.00 60.00
With the nearest neighbours (Å) after each atom.
Atoms (fractional coordinates):
Be  0.7500  0.7500  0.7500  4 Ni 2.60, 4 Na 2.60
Na  0.0000  0.0000  0.0000  4 Ta 2.60, 4 Be 2.60
Ni  0.5000  0.5000  0.5000  4 Be 2.60, 4 Ta 2.60
Ta  0.2500  0.2500  0.2500  4 Ni 2.60, 4 Na 2.60

***

Record 4
Computed, not measured: a relaxed structure of LiHfTcTe at the GGA-PBE level of DFT.

The energy above the most stable polymorph in this dataset is 419 meV per atom. For the calculated density, the calculation gives 9.9 g/cm³. Its crystal system is cubic. Its calculated total energy is -6.205 eV per atom.

abc: 4.5996 4.5996 4.5996
angles: 60.00 60.00 60.00
With the nearest neighbours (Å) after each atom.
Atoms (fractional coordinates):
Hf  0.5000  0.5000  0.5000  4 Te 2.82, 4 Li 2.82
Li  0.7500  0.7500  0.7500  4 Hf 2.82, 4 Tc 2.82
Tc  0.0000  0.0000  0.0000  4 Te 2.82, 4 Li 2.82
Te  0.2500  0.2500  0.2500  4 Hf 2.82, 4 Tc 2.82

***

Record 5
Computed, not measured: a relaxed structure of Ta2TeCS at the GGA-PBE level of DFT.

For the calculated density, the calculation gives 9.2 g/cm³. Its crystal system is trigonal. Its calculated total energy is -8.751 eV per atom.

abc: 3.3495 3.3495 9.8879
angles: 90.00 90.00 120.00
With the nearest neighbours (Å) after each atom.
Atoms (fractional coordinates):
C  0.0000  0.0000  0.9934  6 Ta 2.22-2.27
S  0.6667  0.3333  0.7125  3 Ta 2.50
Ta  0.6667  0.3333  0.1046  3 C 2.22
Ta  0.3333  0.6667  0.8734  3 C 2.27, 3 S 2.50
Te  0.3333  0.6667  0.3162  3 Ta 2.85

***

Record 6
Computed, not measured: a relaxed structure of FeNiSnMo at the GGA-PBE level of DFT.

The energy above the most stable polymorph in this dataset is 0 meV per atom. For the calculated density, the calculation gives 9.5 g/cm³. Its crystal system is cubic. Its calculated total energy is -7.048 eV per atom.

abc: 4.3335 4.3335 4.3335
angles: 60.00 60.00 60.00
With the nearest neighbours (Å) after each atom.
Atoms (fractional coordinates):
Fe  0.7500  0.7500  0.7500  4 Mo 2.65, 4 Sn 2.65
Mo  0.5000  0.5000  0.5000  4 Fe 2.65, 4 Ni 2.65
Ni  0.2500  0.2500  0.2500  4 Sn 2.65, 4 Mo 2.65
Sn  0.0000  0.0000  0.0000  4 Fe 2.65, 4 Ni 2.65

***

Record 7
Computed, not measured: a relaxed structure of YHoTm2 at the GGA-PBE level of DFT.

For the energy of formation, the calculation gives 0.003 eV/atom. For the calculated density, the calculation gives 7.9 g/cm³. Its crystal system is orthorhombic. Its calculated total energy is -4.995 eV per atom.

abc: 5.5705 7.1762 7.1762
angles: 119.96 90.00 90.00
With the nearest neighbours (Å) after each atom.
Atoms (fractional coordinates):
Ho  0.2500  0.6679  0.3334  8 Tm 3.47-3.60, 4 Y 3.47-3.61
Ho  0.7500  0.3334  0.6679  8 Tm 3.47-3.60, 4 Y 3.47-3.61
Tm  0.7500  0.8325  0.1660  4 Ho 3.47-3.60, 4 Tm 3.47-3.59, 4 Y 3.47-3.60
Tm  0.7500  0.8340  0.6669  6 Tm 3.47-3.59, 4 Ho 3.47-3.60, 2 Y 3.58-3.60
Tm  0.2500  0.1660  0.8325  4 Ho 3.47-3.60, 4 Tm 3.47-3.59, 4 Y 3.47-3.60
Tm  0.2500  0.6669  0.8340  6 Tm 3.47-3.59, 4 Ho 3.47-3.60, 2 Y 3.58-3.60
Y  0.7500  0.3338  0.1655  6 Tm 3.47-3.60, 4 Ho 3.47-3.61, 2 Y 3.48
Y  0.2500  0.1655  0.3338  6 Tm 3.47-3.60, 4 Ho 3.47-3.61, 2 Y 3.48

***

Record 8
Computed, not measured: a relaxed structure of SrZnSO at the GGA-PBE level of DFT.

For the calculated density, the calculation gives 4.2 g/cm³. Its crystal system is orthorhombic. Its calculated total energy is -4.752 eV per atom.

abc: 6.9315 7.0619 6.5738
angles: 90.00 90.00 90.00
With the nearest neighbours (Å) after each atom.
Atoms (fractional coordinates):
O  0.0720  0.1143  0.0801  1 Zn 1.95
O  0.5720  0.8857  0.0801  1 Zn 1.95
O  0.4280  0.1143  0.5801  1 Zn 1.95
O  0.9280  0.8857  0.5801  1 Zn 1.95
S  0.6380  0.4141  0.1917  3 Zn 2.33-2.40
S  0.1380  0.5859  0.1917  3 Zn 2.33-2.40
S  0.8620  0.4141  0.6917  3 Zn 2.33-2.40
S  0.3620  0.5859  0.6917  3 Zn 2.33-2.40
Sr  0.1036  0.1501  0.4474  3 O 2.39-2.44
Sr  0.6036  0.8499  0.4474  3 O 2.39-2.44
Sr  0.3964  0.1501  0.9474  3 O 2.39-2.44
Sr  0.8964  0.8499  0.9474  3 O 2.39-2.44
Zn  0.9383  0.3525  0.0309  1 O 1.95
Zn  0.4383  0.6475  0.0309  1 O 1.95
Zn  0.5617  0.3525  0.5309  1 O 1.95
Zn  0.0617  0.6475  0.5309  1 O 1.95